Record 1
DFT (meta-GGA SCAN) results for a PBEsol-optimized structure of SrSc4Hg.

a b c (Å): 6.0375 6.0375 6.0375
angles (deg): 60.00 60.00 60.00
Last column: nearest neighbours and their distance in Å.
Fractional coordinates of all 6 atoms:
Sr 0.7500 0.7500 0.7500  12 Sc 3.54, 4 Hg 3.70
Sc 0.3737 0.3737 0.8790  6 Sc 2.99-3.05
Sc 0.3737 0.8790 0.3737  6 Sc 2.99-3.05
Sc 0.8790 0.3737 0.3737  6 Sc 2.99-3.05
Sc 0.3737 0.3737 0.3737  6 Sc 2.99-3.05
Hg 0.0000 0.0000 0.0000  12 Sc 3.54, 4 Sr 3.70

Output
space-group type: No. 216
energy relative to the elements: 0.26 eV/atom

***

Record 2
DFT (meta-GGA SCAN) results for a PBEsol-optimized structure of ScTcHg2.

a b c (Å): 2.9428 2.9428 9.0846
angles (deg): 90.00 90.00 107.03
Last column: nearest neighbours and their distance in Å.
Fractional coordinates of all 4 atoms:
Tc 0.5000 0.5000 0.2628  2 Sc 2.61, 2 Hg 2.82
Hg 0.0000 0.0000 0.0195  2 Tc 2.82, 6 Hg 2.94-3.07
Hg 0.5000 0.5000 0.7414  6 Hg 2.94-3.07, 2 Sc 2.98
Sc 0.0000 0.0000 0.4763  2 Tc 2.61

Output
space-group type: No. 35
energy relative to the elements: 0.10 eV/atom
E above lowest polymorph: 166 meV/atom

***

Record 3
DFT (meta-GGA SCAN) results for a PBEsol-optimized structure of ScTcHg2.

a b c (Å): 4.6855 4.6855 4.6855
angles (deg): 60.00 60.00 60.00
Last column: nearest neighbours and their distance in Å.
Fractional coordinates of all 4 atoms:
Tc 0.5000 0.5000 0.5000  8 Hg 2.87
Hg 0.7500 0.7500 0.7500  4 Tc 2.87, 4 Sc 2.87
Hg 0.2500 0.2500 0.2500  4 Tc 2.87, 4 Sc 2.87
Sc 0.0000 0.0000 0.0000  8 Hg 2.87

Output
space-group type: No. 225
energy relative to the elements: 0.09 eV/atom
E above lowest polymorph: 152 meV/atom

***

Record 4
DFT (meta-GGA SCAN) results for a PBEsol-optimized structure of ScTcHg2.

a b c (Å): 2.9895 2.9895 8.1330
angles (deg): 90.00 90.00 90.00
Last column: nearest neighbours and their distance in Å.
Fractional coordinates of all 4 atoms:
Hg 0.0000 0.0000 0.2598  4 Tc 2.88, 4 Sc 2.99, 4 Hg 2.99
Hg 0.0000 0.0000 0.7402  4 Tc 2.88, 4 Sc 2.99, 4 Hg 2.99
Tc 0.5000 0.5000 0.5000  8 Hg 2.88, 4 Tc 2.99
Sc 0.5000 0.5000 0.0000  8 Hg 2.99, 4 Sc 2.99

Output
space-group type: No. 123
energy relative to the elements: 0.11 eV/atom
E above lowest polymorph: 172 meV/atom

***

Record 5
DFT (meta-GGA SCAN) results for a PBEsol-optimized structure of ScTc3Hg.

a b c (Å): 4.8427 4.8427 4.8427
angles (deg): 90.00 90.00 90.00
Last column: nearest neighbours and their distance in Å.
Fractional coordinates of all 5 atoms:
Tc 0.5000 0.0000 0.0000  2 Hg 2.42
Tc 0.0000 0.5000 0.0000  2 Hg 2.42
Tc 0.0000 0.0000 0.5000  2 Hg 2.42
Sc 0.5000 0.5000 0.5000  12 Tc 3.42
Hg 0.0000 0.0000 0.0000  6 Tc 2.42

Output
space-group type: No. 221
energy relative to the elements: 2.07 eV/atom

***

Record 6
DFT (meta-GGA SCAN) results for a PBEsol-optimized structure of ScTcHg2.

a b c (Å): 4.0728 4.0747 5.1851
angles (deg): 113.14 113.13 90.00
Last column: nearest neighbours and their distance in Å.
Fractional coordinates of all 4 atoms:
Hg 0.7500 0.7500 0.4999  4 Hg 2.88, 4 Tc 2.97, 4 Sc 2.97
Hg 0.2500 0.2500 0.5001  4 Hg 2.88, 4 Tc 2.97, 4 Sc 2.97
Tc 0.0000 0.5000 0.0000  4 Sc 2.88, 8 Hg 2.97
Sc 0.5000 0.0000 0.0000  4 Tc 2.88, 8 Hg 2.97

Output
space-group type: No. 139
energy relative to the elements: -0.07 eV/atom
E above lowest polymorph: 0 meV/atom

***

Record 7
DFT (meta-GGA SCAN) results for a PBEsol-optimized structure of ScTcHg2.

a b c (Å): 4.6916 4.6916 4.6916
angles (deg): 60.00 60.00 60.00
Last column: nearest neighbours and their distance in Å.
Fractional coordinates of all 4 atoms:
Hg 0.0000 0.0000 0.0000  4 Tc 2.87, 4 Hg 2.87
Hg 0.2500 0.2500 0.2500  4 Hg 2.87, 4 Sc 2.87
Tc 0.7500 0.7500 0.7500  4 Sc 2.87, 4 Hg 2.87
Sc 0.5000 0.5000 0.5000  4 Hg 2.87, 4 Tc 2.87

Output
space-group type: No. 216
energy relative to the elements: 0.21 eV/atom
E above lowest polymorph: 275 meV/atom

***

Record 8
DFT (meta-GGA SCAN) results for a PBEsol-optimized structure of ScTcHg2.

a b c (Å): 4.0857 4.0857 5.2105
angles (deg): 113.08 113.08 90.00
Last column: nearest neighbours and their distance in Å.
Fractional coordinates of all 4 atoms:
Sc 0.5000 0.5000 0.0000  8 Hg 2.89-2.98, 4 Tc 2.98
Hg 0.0000 0.0000 0.0000  4 Sc 2.89, 4 Hg 2.98, 4 Tc 2.98
Hg 0.7500 0.2500 0.5000  4 Tc 2.89, 4 Hg 2.98, 4 Sc 2.98
Tc 0.2500 0.7500 0.5000  8 Hg 2.89-2.98, 4 Sc 2.98

Output
space-group type: No. 119
energy relative to the elements: 0.00 eV/atom
E above lowest polymorph: 66 meV/atom

***

Record 9
DFT (meta-GGA SCAN) results for a PBEsol-optimized structure of ScZnTc2Hg.

a b c (Å): 4.5852 4.9599 4.9599
angles (deg): 90.00 90.00 90.00
Last column: nearest neighbours and their distance in Å.
Fractional coordinates of all 5 atoms:
Hg 0.0000 0.0000 0.0000  2 Zn 2.29, 4 Tc 2.48
Zn 0.5000 0.0000 0.0000  2 Hg 2.29
Tc 0.0000 0.5000 0.0000  2 Hg 2.48
Tc 0.0000 0.0000 0.5000  2 Hg 2.48
Sc 0.5000 0.5000 0.5000  8 Tc 3.38, 4 Zn 3.51

Output
space-group type: No. 123
energy relative to the elements: 1.45 eV/atom

***

Record 10
DFT (meta-GGA SCAN) results for a PBEsol-optimized structure of Sc2HgTe.

a b c (Å): 4.9779 4.9779 4.9779
angles (deg): 60.00 60.00 60.00
Last column: nearest neighbours and their distance in Å.
Fractional coordinates of all 4 atoms:
Te 0.5000 0.5000 0.5000  8 Sc 3.05
Sc 0.2500 0.2500 0.2500  4 Te 3.05, 4 Hg 3.05
Sc 0.7500 0.7500 0.7500  4 Hg 3.05, 4 Te 3.05
Hg 0.0000 0.0000 0.0000  8 Sc 3.05

Output
formation energy (no corrections): -604.2 meV per atom
space-group type: No. 225
E above lowest polymorph: 218 meV/atom

***

Record 11
DFT (meta-GGA SCAN) results for a PBEsol-optimized structure of Sc2HgTe2.

a b c (Å): 4.8959 4.8959 7.0765
angles (deg): 110.24 110.24 90.00
Last column: nearest neighbours and their distance in Å.
Fractional coordinates of all 5 atoms:
Te 0.3615 0.3615 0.7230  4 Sc 2.81
Te 0.6385 0.6385 0.2770  4 Sc 2.81
Sc 0.2500 0.7500 0.5000  4 Te 2.81
Sc 0.7500 0.2500 0.5000  4 Te 2.81
Hg 0.0000 0.0000 0.0000  8 Te 3.86, 8 Sc 3.94

Output
formation energy (no corrections): -752.0 meV per atom
space-group type: No. 139

***

Record 12
DFT (meta-GGA SCAN) results for a PBEsol-optimized structure of Sc2HgTe.

a b c (Å): 3.6811 3.6811 9.6511
angles (deg): 79.01 79.01 60.00
Last column: nearest neighbours and their distance in Å.
Fractional coordinates of all 4 atoms:
Hg 0.0000 0.0000 0.0000  2 Sc 2.84
Te 0.5000 0.5000 0.5000  6 Sc 2.83
Sc 0.8993 0.8993 0.3020  3 Te 2.83, 1 Hg 2.84
Sc 0.1007 0.1007 0.6980  3 Te 2.83, 1 Hg 2.84

Output
formation energy (no corrections): -285.8 meV per atom
space-group type: No. 166
E above lowest polymorph: 537 meV/atom

***

Mass density: 4994; 12012; 12423; 12431; 7889; 12629; 12374; 12483; 7463; 7960; 6125; 6284 (kg/m³)
Electronic total energy: -145.836; -185.230; -185.283; -185.203; -177.235; -185.892; -184.791; -185.627; -158.778; -136.308; -174.902; -135.034 (eV for the cell shown)